# Rb2TaCu PBE-GGA optimized geometry
data_Rb2TaCu
_symmetry_space_group_name_H-M 'P 1'
_symmetry_Int_Tables_number 1
_cell_length_a 12.779
_cell_length_b 12.779
_cell_length_c 9.375
_cell_angle_alpha 47.04
_cell_angle_beta 47.04
_cell_angle_gamma 90.00
loop_
_symmetry_equiv_pos_as_xyz
'x,y,z'
loop_
_atom_site_label
_atom_site_fract_x
_atom_site_fract_y
_atom_site_fract_z
Cu1 0.500 0.500 0.000
Cu2 0.250 0.750 0.500
Rb1 0.875 0.708 0.750
Rb2 0.375 0.542 0.750
Rb3 0.458 0.125 0.250
Rb4 0.292 0.625 0.250
Ta1 0.750 0.250 0.500
Ta2 0.000 0.000 0.000
# * ρ: 3.4 Mg/m³
# * DFT total energy: -3.07 eV/atom
# * E_form: 1.403 eV/atom
# * spin magnetization: 3.72 μB per formula unit